First-principles (PBE) data for an optimized crystal structure of CsAcAg2, as listed in the Alexandria database.

Computed properties:
- V: 34.6 Å³ per atom
- M_tot: 0.00 μB per formula unit
- DOS at the Fermi energy: 3.856 states/eV/cell
- Formation enthalpy at 0 K: 0.064 eV/atom

Lattice parameters (Å, degrees): 6.038 6.038 3.797 90.00 90.00 90.00
Space group P4/mmm (No. 123)
Inequivalent atoms, fractional coordinates:
1 Cs 0.000 0.000 0.000 (multiplicity 1)
2 Ac 0.500 0.500 0.000 (multiplicity 1)
3 Ag 0.000 0.500 0.500 (multiplicity 2)